Entry 1:
# GGA-PBE BeZnRe2, relaxed
# VASP energy in eV/atom: -7.343
data_BeZnRe2
_chemical_formula_sum 'Be4 Zn4 Re8'
_cell_length_a 5.966
_cell_length_b 5.966
_cell_length_c 5.966
_cell_angle_alpha 90.00
_cell_angle_beta 90.00
_cell_angle_gamma 90.00
_symmetry_space_group_name_H-M 'F -4 3 m'
_symmetry_Int_Tables_number 216
_symmetry_space_group_name_Hall 'F -4 2 3'
loop_
_atom_site_label
_atom_site_fract_x
_atom_site_fract_y
_atom_site_fract_z
Be1 0.000 0.000 0.000
Zn1 0.250 0.250 0.250
Re1 0.000 0.000 0.500
Re2 0.250 0.250 0.750

=====

Entry 2:
# GGA-PBE PrSmPd, relaxed
# Energy above the most stable polymorph in this dataset in eV/atom: 0.000
# VASP energy in eV/atom: -5.262
# DFT formation energy in eV per atom: -0.375
data_PrSmPd
_chemical_formula_sum 'Pr4 Sm4 Pd4'
_cell_length_a 7.086
_cell_length_b 7.086
_cell_length_c 7.086
_cell_angle_alpha 90.00
_cell_angle_beta 90.00
_cell_angle_gamma 90.00
_symmetry_space_group_name_H-M 'F -4 3 m'
_symmetry_Int_Tables_number 216
_symmetry_space_group_name_Hall 'F -4 2 3'
loop_
_atom_site_label
_atom_site_fract_x
_atom_site_fract_y
_atom_site_fract_z
Pr1 0.000 0.000 0.000
Sm1 0.000 0.000 0.500
Pd1 0.250 0.250 0.250

=====

Entry 3:
# GGA-PBE CsAgIrSe2S, relaxed
# VASP energy in eV/atom: -4.207
data_CsAgIrSe2S
_chemical_formula_sum 'Cs4 Ag4 Ir4 Se8 S4'
_cell_length_a 3.921
_cell_length_b 16.091
_cell_length_c 9.977
_cell_angle_alpha 90.00
_cell_angle_beta 90.00
_cell_angle_gamma 90.00
_symmetry_space_group_name_H-M 'C m c m'
_symmetry_Int_Tables_number 63
_symmetry_space_group_name_Hall '-C 2c 2'
loop_
_atom_site_label
_atom_site_fract_x
_atom_site_fract_y
_atom_site_fract_z
Cs1 0.000 0.245 0.250
Ag1 0.000 0.459 0.750
Ir1 0.000 0.000 0.000
Se1 0.000 0.398 0.516
S1 0.000 0.056 0.750

=====

Entry 4:
# GGA-PBE HoNbN2O, relaxed
# VASP energy in eV/atom: -8.735
data_HoNbN2O
_chemical_formula_sum 'Ho6 Nb6 N12 O6'
_cell_length_a 5.7151
_cell_length_b 5.7151
_cell_length_c 14.0398
_cell_angle_alpha 90.00
_cell_angle_beta 90.00
_cell_angle_gamma 120.00
_symmetry_space_group_name_H-M 'P 63/m m c'
_symmetry_Int_Tables_number 194
_symmetry_space_group_name_Hall '-P 6c 2c'
loop_
_atom_site_label
_atom_site_fract_x
_atom_site_fract_y
_atom_site_fract_z
Ho1 0.0000 0.0000 0.2500
Ho2 0.3333 0.6667 0.1281
Nb1 0.0000 0.0000 0.0000
Nb2 0.3333 0.6667 0.6450
N1 0.1572 0.3143 0.5937
O1 0.0226 0.5113 0.2500